The following is a meta-GGA SCAN calculation of NbCoNi2Ir at its PBEsol-relaxed geometry, from Alexandria via LeMat-Bulk.

Output
- formation enthalpy at 0 K (eV per atom) = 1.026
- space-group type = No. 123

Unit cell a=4.138 b=4.138 c=4.298 alpha=90.00 beta=90.00 gamma=90.00
Each line ends with the local moment (μB).
Atoms (fractional coordinates):
Ni 0.000 0.500 0.000  0.50
Ni 0.500 0.000 0.000  0.50
Nb 0.000 0.000 0.500  -0.09
Ir 0.500 0.500 0.500  -0.06
Co 0.000 0.000 0.000  0.85

***

The following is a meta-GGA SCAN calculation of CeMn4Cu3O12 at its PBEsol-relaxed geometry, from Alexandria via LeMat-Bulk.

Output
- space-group type = No. 204

Unit cell a=6.248 b=6.248 c=6.248 alpha=109.47 beta=109.47 gamma=109.47
Each line ends with the local moment (μB).
Atoms (fractional coordinates):
Ce 0.000 0.000 0.000  -0.38
Mn 0.000 0.500 0.000  3.03
Mn 0.500 0.500 0.500  3.03
Mn 0.000 0.000 0.500  3.03
Mn 0.500 0.000 0.000  3.03
Cu 0.500 0.000 0.500  -0.59
Cu 0.000 0.500 0.500  -0.59
Cu 0.500 0.500 0.000  -0.59
O 0.299 0.822 0.121  -0.02
O 0.299 0.178 0.476  -0.02
O 0.701 0.822 0.524  -0.02
O 0.701 0.178 0.879  -0.02
O 0.178 0.879 0.701  -0.02
O 0.822 0.524 0.701  -0.02
O 0.178 0.476 0.299  -0.02
O 0.822 0.121 0.299  -0.02
O 0.476 0.299 0.178  -0.02
O 0.121 0.299 0.822  -0.02
O 0.879 0.701 0.178  -0.02
O 0.524 0.701 0.822  -0.02

***

The following is a meta-GGA SCAN calculation of CdIn2Sb at its PBEsol-relaxed geometry, from Alexandria via LeMat-Bulk.

Output
- space-group type = No. 8
- excess energy over the best structure of this formula in the dataset (eV per formula unit) = 0.02

Unit cell a=3.482 b=5.515 c=5.647 alpha=103.82 beta=107.96 gamma=90.00
Atoms (fractional coordinates):
Sb 0.496 0.491 0.992
Cd 0.750 0.249 0.500
In 0.005 0.003 0.009
In 0.250 0.757 0.499

***

The following is a meta-GGA SCAN calculation of CrCo2Ru at its PBEsol-relaxed geometry, from Alexandria via LeMat-Bulk.

Output
- formation enthalpy at 0 K (eV per atom) = 0.195
- space-group type = No. 160
- excess energy over the best structure of this formula in the dataset (eV per formula unit) = 0.41

Unit cell a=2.553 b=2.553 c=8.261 alpha=81.11 beta=81.11 gamma=60.00
Each line ends with the local moment (μB).
Atoms (fractional coordinates):
Co 0.996 0.996 0.012  1.89
Co 0.251 0.251 0.248  1.77
Cr 0.502 0.502 0.494  -0.01
Ru 0.751 0.751 0.746  0.24

***

Number 1: DOS(E_F) 1.01 states/eV/atom, total DFT energy (no corrections) -29.750 eV/atom, total magnetization 1.68 μB per formula unit. Number 2: DOS(E_F) 0.35 states/eV/atom, total DFT energy (no corrections) -13.908 eV/atom, total magnetization 9.92 μB per formula unit. Number 3: DOS(E_F) 0.40 states/eV/atom, total DFT energy (no corrections) -33.505 eV/atom, total magnetization 0.00 μB per formula unit. Number 4: DOS(E_F) 0.78 states/eV/atom, total DFT energy (no corrections) -21.760 eV/atom, total magnetization 3.82 μB per formula unit.